The following is a PBE calculation of a relaxed structure of MoRu2Pb, from Alexandria via LeMat-Bulk.

Results
The formation energy is 420 meV/atom. As for the magnetization: 0.6 μB/f.u. The calculation puts the raw total energy at -7.85 eV per atom.

Cell lengths 4.768, 4.768, 4.768 Å; angles 127.58, 127.62, 77.27 degrees
Each line ends with the local moment (μB).
Fractional coordinates of all 4 atoms:
Ru1 0.000 0.000 0.000  0.02
Ru2 0.500 0.500 0.000  0.02
Pb1 0.250 0.750 0.500  0.01
Mo1 0.750 0.250 0.500  0.53